No. 1
A plane-wave DFT calculation with PBE-GGA was carried out for a relaxed Ta2SiP crystal.

Output
crystal system = trigonal
space-group type = R3m (160)
density = 10.53 g/cm3
volume = 16.59 A^3/atom
VASP energy = -8.64 eV per atom

```
4
Lattice="1.553 0.897 7.946 -1.553 0.897 7.946 0.000 -1.793 7.946" Properties=species:S:1:pos:R:3 pbc="T T T"
Ta 0.000 0.000 0.000
Ta 0.000 0.000 5.660
Si 0.000 0.000 11.558
P 0.000 0.000 17.669
```

=====

No. 2
A plane-wave DFT calculation with PBE-GGA was carried out for a relaxed TaSi2P crystal.

Output
crystal system = orthorhombic
space-group type = Imm2 (44)
density = 7.65 g/cm3
volume = 14.56 A^3/atom
VASP energy = -7.09 eV per atom

```
4
Lattice="-1.648 2.273 3.886 1.648 -2.273 3.886 1.648 2.273 -3.886" Properties=species:S:1:pos:R:3 pbc="T T T"
Ta 0.000 0.000 0.000
Si 0.000 0.000 3.862
Si 0.000 2.273 1.718
P 1.648 0.000 2.140
```

=====

No. 3
A plane-wave DFT calculation with PBE-GGA was carried out for a relaxed TaSi2P crystal.

Output
crystal system = cubic
space-group type = F-43m (216)
density = 7.36 g/cm3
volume = 15.12 A^3/atom
VASP energy = -6.66 eV per atom

```
4
Lattice="0.000 3.116 3.116 3.116 0.000 3.116 3.116 3.116 0.000" Properties=species:S:1:pos:R:3 pbc="T T T"
Ta 0.000 0.000 0.000
Si 1.558 1.558 1.558
Si 3.116 3.116 3.116
P 4.673 4.673 4.673
```

=====

No. 4
A plane-wave DFT calculation with PBE-GGA was carried out for a relaxed TaSi2P crystal.

Output
crystal system = orthorhombic
space-group type = Pmmm (47)
density = 7.46 g/cm3
volume = 14.93 A^3/atom
VASP energy = -6.86 eV per atom

```
4
Lattice="3.211 0.000 0.000 0.000 4.061 0.000 0.000 0.000 4.579" Properties=species:S:1:pos:R:3 pbc="T T T"
Ta 0.000 0.000 0.000
Si 0.000 2.030 2.290
Si 1.606 0.000 2.290
P 1.606 2.030 0.000
```

=====

No. 5
A plane-wave DFT calculation with PBE-GGA was carried out for a relaxed TaSi2P crystal.

Output
crystal system = orthorhombic
space-group type = Immm (71)
density = 7.75 g/cm3
volume = 14.37 A^3/atom
VASP energy = -7.11 eV per atom

```
4
Lattice="-1.596 2.222 4.051 1.596 -2.222 4.051 1.596 2.222 -4.051" Properties=species:S:1:pos:R:3 pbc="T T T"
Ta 0.000 0.000 0.000
Si 1.596 0.000 2.229
Si 0.000 2.222 1.822
P 0.000 0.000 4.051
```

=====

No. 6
A plane-wave DFT calculation with PBE-GGA was carried out for a relaxed Ta2SiP crystal.

Output
crystal system = tetragonal
space-group type = I-42d (122)
density = 7.70 g/cm3
volume = 22.71 A^3/atom
VASP energy = -8.10 eV per atom

```
8
Lattice="-2.826 2.826 5.686 2.826 -2.826 5.686 2.826 2.826 -5.686" Properties=species:S:1:pos:R:3 pbc="T T T"
Ta 4.239 1.358 -1.421
Ta 1.358 1.413 1.421
Ta -1.413 1.469 4.264
Ta 1.469 1.413 7.107
Si 2.826 0.000 2.843
Si 0.000 0.000 5.686
P 0.000 0.000 0.000
P 0.000 2.826 2.843
```

=====

No. 7
A plane-wave DFT calculation with PBE-GGA was carried out for a relaxed TaSi2P crystal.

Output
crystal system = orthorhombic
space-group type = Cmmm (65)
density = 7.51 g/cm3
volume = 14.83 A^3/atom
VASP energy = -6.88 eV per atom

```
4
Lattice="2.795 -3.849 0.000 2.795 3.849 0.000 0.000 0.000 2.756" Properties=species:S:1:pos:R:3 pbc="T T T"
Ta 0.000 0.000 0.000
Si 1.398 1.924 1.378
Si 1.398 -1.924 1.378
P 2.795 0.000 0.000
```

=====

No. 8
A plane-wave DFT calculation with PBE-GGA was carried out for a relaxed Ta2SiP crystal.

Output
crystal system = orthorhombic
space-group type = Immm (71)
density = 11.03 g/cm3
volume = 15.84 A^3/atom
VASP energy = -8.88 eV per atom

```
4
Lattice="-1.785 2.414 3.677 1.785 -2.414 3.677 1.785 2.414 -3.677" Properties=species:S:1:pos:R:3 pbc="T T T"
Ta 0.000 0.000 1.645
Ta 0.000 0.000 5.708
Si 0.000 2.414 0.000
P 1.785 0.000 0.000
```

=====

> volume of number 5 (TaSi2P)?

14.37 A^3/atom